(1)
! LiReSeBr2 GGA-PBE optimized geometry; values from VASP
! space group: No. 123
! relative energy among the computed polymorphs: 0 meV per atom
! N(E_F): 1.7 states/eV/cell
! volume: 135.7 Å³/f.u.
! calculated total energy: -21.14 eV/cell
&SYSTEM
  ibrav = 0, nat = 5, ntyp = 4
/
ATOMIC_SPECIES
Re 186.21 Re.upf
Se 78.96 Se.upf
Br 79.90 Br.upf
Li 6.94 Li.upf
ATOMIC_POSITIONS angstrom
Re 0.0000 0.0000 0.0000
Se -0.4967 -0.0251 2.3006
Br 2.6077 -0.3017 0.5597
Br -0.2889 -2.6670 -0.0915
Li 1.8221 -2.9938 2.7688
CELL_PARAMETERS angstrom
-0.5778 -5.3340 -0.1829
5.2155 -0.6034 1.1195
-0.9934 -0.0502 4.6011

***

(2)
! KLiTl2 GGA-PBE optimized geometry; values from VASP
! space group: No. 99
! energy of formation: -0.093 eV/atom
! relative energy among the computed polymorphs: 41 meV per atom
! N(E_F): 0.8 states/eV/cell
! volume: 125.1 Å³/f.u.
! calculated total energy: -8.12 eV/cell
&SYSTEM
  ibrav = 0, nat = 4, ntyp = 3
/
ATOMIC_SPECIES
Tl 204.38 Tl.upf
K 39.10 K.upf
Li 6.94 Li.upf
ATOMIC_POSITIONS angstrom
Tl 0.0000 0.0000 8.0532
Tl 1.9324 1.9336 1.6996
K 0.0000 0.0000 4.1482
Li 1.9324 1.9336 7.0233
CELL_PARAMETERS angstrom
3.8648 0.0000 0.0000
0.0000 3.8673 0.0000
0.0000 0.0000 8.3697

***

(3)
! RbTeI4 GGA-PBE optimized geometry; values from VASP
! space group: No. 119
! relative energy among the computed polymorphs: 0 meV per atom
! N(E_F): 2.7 states/eV/cell
! volume: 360.4 Å³/f.u.
! calculated total energy: -13.39 eV/cell
&SYSTEM
  ibrav = 0, nat = 6, ntyp = 3
/
ATOMIC_SPECIES
Rb 85.47 Rb.upf
Te 127.60 Te.upf
I 126.90 I.upf
ATOMIC_POSITIONS angstrom
Rb 6.0148 0.1019 8.3187
Te 4.3284 1.5231 3.1861
I 5.1988 2.4932 5.8351
I 3.4579 0.5531 0.5372
I 4.0272 4.4882 2.2694
I 1.3482 1.5025 4.1029
CELL_PARAMETERS angstrom
5.9234 0.0000 -1.9464
-0.6395 5.8888 -1.9464
0.0915 0.1020 10.2651

***

(4)
! Cd2CoHg GGA-PBE optimized geometry; values from VASP
! space group: No. 8
! energy of formation: 0.216 eV/atom
! N(E_F): 2.9 states/eV/cell
! volume: 82.7 Å³/f.u.
! calculated total energy: -8.37 eV/cell
&SYSTEM
  ibrav = 0, nat = 4, ntyp = 3
/
ATOMIC_SPECIES
Cd 112.41 Cd.upf
Co 58.93 Co.upf
Hg 200.59 Hg.upf
ATOMIC_POSITIONS angstrom
Cd 13.0808 2.9453 -0.0522
Cd 11.7848 2.6535 2.8295
Co 7.3194 1.6481 2.0874
Hg 2.8665 0.6454 1.3433
CELL_PARAMETERS angstrom
6.8750 0.0658 -0.0322
6.2398 2.8872 -0.0322
1.5098 0.3399 4.2459

***

(5)
! HgRuBr2N GGA-PBE optimized geometry; values from VASP
! space group: No. 123
! N(E_F): 5.4 states/eV/cell
! volume: 118.1 Å³/f.u.
! calculated total energy: -17.55 eV/cell
&SYSTEM
  ibrav = 0, nat = 5, ntyp = 4
/
ATOMIC_SPECIES
Ru 101.07 Ru.upf
Hg 200.59 Hg.upf
Br 79.90 Br.upf
N 14.01 N.upf
ATOMIC_POSITIONS angstrom
Ru 0.0000 1.8290 0.0000
Hg 2.8409 1.8290 2.8409
Br 0.0000 0.0000 2.8409
Br 2.8409 0.0000 0.0000
N 0.0000 0.0000 0.0000
CELL_PARAMETERS angstrom
5.6818 0.0000 0.0000
0.0000 3.6579 0.0000
0.0000 0.0000 5.6818

***

(6)
! ErTm6Al4 GGA-PBE optimized geometry; values from VASP
! space group: No. 121
! energy of formation: -0.122 eV/atom
! N(E_F): 13.5 states/eV/cell
! volume: 301.4 Å³/f.u.
! calculated total energy: -47.71 eV/cell
&SYSTEM
  ibrav = 0, nat = 11, ntyp = 3
/
ATOMIC_SPECIES
Er 167.26 Er.upf
Tm 168.93 Tm.upf
Al 26.98 Al.upf
ATOMIC_POSITIONS angstrom
Er 0.0000 0.0000 0.0000
Tm -5.4552 4.9405 3.7545
Tm -5.4552 1.6751 5.9748
Tm 4.0326 0.2228 0.3276
Tm 1.9067 -1.1561 2.9242
Tm -0.6737 2.0412 3.0019
Tm 1.9067 3.1445 0.0000
Al -3.3250 0.6880 3.8681
Al 2.1724 1.6552 2.4343
Al -3.3250 3.3442 2.0620
Al -3.0740 3.1920 4.6944
CELL_PARAMETERS angstrom
7.6016 -0.3087 -0.4539
-3.7883 6.5976 0.4539
-3.7883 -2.0035 6.3024

***

(7)
! Ba2BiPtPb GGA-PBE optimized geometry; values from VASP
! space group: No. 123
! energy of formation: -0.588 eV/atom
! N(E_F): 2.2 states/eV/cell
! volume: 197.1 Å³/f.u.
! calculated total energy: -20.42 eV/cell
&SYSTEM
  ibrav = 0, nat = 5, ntyp = 4
/
ATOMIC_SPECIES
Pb 207.20 Pb.upf
Bi 208.98 Bi.upf
Pt 195.08 Pt.upf
Ba 137.33 Ba.upf
ATOMIC_POSITIONS angstrom
Pb 0.0000 0.0000 2.6212
Bi 3.0659 3.0659 2.6212
Pt 0.0000 0.0000 0.0000
Ba 0.0000 3.0659 0.0000
Ba 3.0659 0.0000 0.0000
CELL_PARAMETERS angstrom
6.1318 0.0000 0.0000
0.0000 6.1318 0.0000
0.0000 0.0000 5.2425

***

(8)
! ReIr4W GGA-PBE optimized geometry; values from VASP
! space group: No. 216
! energy of formation: 0.425 eV/atom
! relative energy among the computed polymorphs: 430 meV per atom
! N(E_F): 9.6 states/eV/cell
! volume: 93.4 Å³/f.u.
! calculated total energy: -58.30 eV/cell
&SYSTEM
  ibrav = 0, nat = 6, ntyp = 3
/
ATOMIC_SPECIES
Re 186.21 Re.upf
Ir 192.22 Ir.upf
W 183.84 W.upf
ATOMIC_POSITIONS angstrom
Re 1.8003 1.8003 1.8003
Ir 2.7017 2.7017 4.4994
Ir 2.7017 4.4994 2.7017
Ir 4.4994 4.4994 4.4994
Ir 4.4994 2.7017 2.7017
W 0.0000 0.0000 0.0000
CELL_PARAMETERS angstrom
0.0000 3.6005 3.6005
3.6005 0.0000 3.6005
3.6005 3.6005 0.0000

***

(9)
! RbTaI3 GGA-PBE optimized geometry; values from VASP
! space group: No. 221
! relative energy among the computed polymorphs: 0 meV per atom
! N(E_F): 4.0 states/eV/cell
! volume: 199.6 Å³/f.u.
! calculated total energy: -18.88 eV/cell
&SYSTEM
  ibrav = 0, nat = 5, ntyp = 3
/
ATOMIC_SPECIES
I 126.90 I.upf
Rb 85.47 Rb.upf
Ta 180.95 Ta.upf
ATOMIC_POSITIONS angstrom
I -1.9099 -0.7847 2.0675
I -1.1284 2.6953 -0.0194
I -1.9018 -0.8111 -2.0648
Rb -4.9402 1.0994 -0.0167
Ta 0.0000 0.0000 0.0000
CELL_PARAMETERS angstrom
-3.8036 -1.6223 -4.1295
-3.8199 -1.5695 4.1350
-2.2569 5.3905 -0.0389

***

(10)
! PmTl2In GGA-PBE optimized geometry; values from VASP
! space group: No. 123
! energy of formation: -0.351 eV/atom
! N(E_F): 2.0 states/eV/cell
! volume: 109.4 Å³/f.u.
! calculated total energy: -13.62 eV/cell
&SYSTEM
  ibrav = 0, nat = 4, ntyp = 3
/
ATOMIC_SPECIES
Tl 204.38 Tl.upf
In 114.82 In.upf
Pm 145.00 Pm.upf
ATOMIC_POSITIONS angstrom
Tl 0.0000 0.0000 2.3968
Tl 0.0000 2.3968 0.0000
In 2.3803 0.0000 0.0000
Pm 2.3803 2.3968 2.3968
CELL_PARAMETERS angstrom
4.7607 0.0000 0.0000
0.0000 4.7936 0.0000
0.0000 0.0000 4.7936

***

(11)
! Y3S2N GGA-PBE optimized geometry; values from VASP
! space group: No. 71
! relative energy among the computed polymorphs: 0 meV per atom
! N(E_F): 2.3 states/eV/cell
! volume: 114.8 Å³/f.u.
! calculated total energy: -47.05 eV/cell
&SYSTEM
  ibrav = 0, nat = 6, ntyp = 3
/
ATOMIC_SPECIES
Y 88.91 Y.upf
S 32.06 S.upf
N 14.01 N.upf
ATOMIC_POSITIONS angstrom
Y -3.9075 0.1199 1.5303
Y 0.0000 0.0000 0.0000
Y -2.1746 2.6126 -1.2903
S -1.6380 1.8044 1.2436
S -4.4441 0.9281 -1.0036
N -0.9100 0.8197 -2.3877
CELL_PARAMETERS angstrom
0.5019 3.4928 1.0078
-1.8199 1.6394 -4.7755
-4.7640 -2.3997 4.0077

***

(12)
! CdIn2Rh GGA-PBE optimized geometry; values from VASP
! space group: No. 123
! energy of formation: -0.117 eV/atom
! N(E_F): 2.0 states/eV/cell
! volume: 83.6 Å³/f.u.
! calculated total energy: -14.21 eV/cell
&SYSTEM
  ibrav = 0, nat = 4, ntyp = 3
/
ATOMIC_SPECIES
Cd 112.41 Cd.upf
In 114.82 In.upf
Rh 102.91 Rh.upf
ATOMIC_POSITIONS angstrom
Cd -1.2194 -3.3580 3.1972
In 0.6741 -6.0894 2.8375
In 0.1746 -1.5776 0.7351
Rh -1.6438 0.4755 1.4109
CELL_PARAMETERS angstrom
-0.1715 1.3071 2.8459
-3.1160 -0.3562 -0.0242
0.8487 -7.6670 3.5726

***

Copy entry 3 word for word.
! RbTeI4 GGA-PBE optimized geometry; values from VASP
! space group: No. 119
! relative energy among the computed polymorphs: 0 meV per atom
! N(E_F): 2.7 states/eV/cell
! volume: 360.4 Å³/f.u.
! calculated total energy: -13.39 eV/cell
&SYSTEM
  ibrav = 0, nat = 6, ntyp = 3
/
ATOMIC_SPECIES
Rb 85.47 Rb.upf
Te 127.60 Te.upf
I 126.90 I.upf
ATOMIC_POSITIONS angstrom
Rb 6.0148 0.1019 8.3187
Te 4.3284 1.5231 3.1861
I 5.1988 2.4932 5.8351
I 3.4579 0.5531 0.5372
I 4.0272 4.4882 2.2694
I 1.3482 1.5025 4.1029
CELL_PARAMETERS angstrom
5.9234 0.0000 -1.9464
-0.6395 5.8888 -1.9464
0.0915 0.1020 10.2651

***

Question: Look up the volume of the third one.
Answer: 360.4 Å³/f.u.